! RePbO4 | Alexandria | PBE | relaxed; values from VASP
&SYSTEM
  ibrav = 0, nat = 12, ntyp = 3
/
ATOMIC_SPECIES
O 16.00 O.upf
Re 186.21 Re.upf
Pb 207.20 Pb.upf
ATOMIC_POSITIONS angstrom
O -1.588 4.469 1.779
O 2.102 1.487 0.978
O -1.445 -0.451 4.536
O -2.825 2.520 3.736
O -1.173 1.471 1.779
O 1.687 4.485 0.978
O 0.064 3.421 3.736
O 1.445 0.451 4.536
Re -1.381 2.970 2.757
Re 1.895 2.986 0.000
Pb 0.000 0.000 0.000
Pb 3.275 0.016 2.757
CELL_PARAMETERS angstrom
6.551 0.031 0.000
-2.761 5.940 0.000
-1.895 -2.986 5.514
! M_tot = 0.68 μB/f.u.
! D(E_F) = 7.85 states/eV/cell
! Formation energy (no corrections) = -8.273 eV/f.u.
! Symmetry = I4_1/amd